# 1
Density functional theory data (PBE) for a relaxed TbSm2Dy12 crystal.

```
data_TbSm2Dy12
_space_group_name_H-M_alt 'C 1 2/m 1'
_space_group_IT_number 12
_space_group_name_Hall '-C 2y'
_cell_length_a 7.089
_cell_length_b 11.197
_cell_length_c 24.402
_cell_angle_alpha 90.00
_cell_angle_beta 94.12
_cell_angle_gamma 90.00
loop_
_atom_site_label
_atom_site_fract_x
_atom_site_fract_y
_atom_site_fract_z
_atom_site_occupancy
Tb1 0.250 0.000 0.000 1
Sm1 0.067 0.000 0.272 1
Sm2 0.068 0.500 0.272 1
Dy1 0.018 0.250 0.074 1
Dy2 0.112 0.251 0.445 1
Dy3 0.141 0.000 0.573 1
Dy4 0.144 0.500 0.572 1
Dy5 0.168 0.251 0.670 1
Dy6 0.201 0.250 0.799 1
Dy7 0.217 0.000 0.864 1
Dy8 0.217 0.500 0.864 1
```

The volume comes out at 32.20 Å³/atom. The calculated formation energy comes out at 0.1137 eV per atom. The density of states at the Fermi level comes out at 91.94 states/eV per cell.

=====

# 2
Density functional theory data (PBE) for a relaxed Sm2ZnGa3 crystal.

```
data_Sm2ZnGa3
_space_group_name_H-M_alt 'P m m 2'
_space_group_IT_number 25
_space_group_name_Hall 'P 2 -2'
_cell_length_a 3.848
_cell_length_b 4.405
_cell_length_c 7.619
_cell_angle_alpha 90.00
_cell_angle_beta 90.00
_cell_angle_gamma 90.00
loop_
_atom_site_label
_atom_site_fract_x
_atom_site_fract_y
_atom_site_fract_z
_atom_site_occupancy
Sm1 0.000 0.000 0.000 1
Sm2 0.000 0.500 0.495 1
Zn1 0.500 0.500 0.828 1
Ga1 0.500 0.000 0.334 1
Ga2 0.500 0.000 0.669 1
Ga3 0.500 0.500 0.159 1
```

For the offset from the most stable computed form, the calculation gives 0 meV per atom. The volume comes out at 21.53 Å³/atom. The calculated formation energy comes out at -0.6063 eV per atom. The density of states at the Fermi level comes out at 3.92 states/eV per cell.

=====

# 3
Density functional theory data (PBE) for a relaxed TbCePb crystal.

```
data_TbCePb
_space_group_name_H-M_alt 'I m m m'
_space_group_IT_number 71
_space_group_name_Hall '-I 2 2'
_cell_length_a 3.473
_cell_length_b 5.665
_cell_length_c 18.586
_cell_angle_alpha 90.00
_cell_angle_beta 90.00
_cell_angle_gamma 90.00
loop_
_atom_site_label
_atom_site_fract_x
_atom_site_fract_y
_atom_site_fract_z
_atom_site_occupancy
Tb1 0.000 0.000 0.170 1
Ce1 0.000 0.259 0.500 1
Pb1 0.000 0.000 0.341 1
```

For the offset from the most stable computed form, the calculation gives 267 meV per atom. The volume comes out at 30.47 Å³/atom. The calculated formation energy comes out at -0.1572 eV per atom. The density of states at the Fermi level comes out at 20.59 states/eV per cell.